(1)
# GGA-PBE Ac5LaCo3, relaxed
# - E_form (meV per atom) = -46
# - DOS at the Fermi energy (states/eV/cell) = 26.0
# - calculated density (Mg/m³) = 8.03
# - V (Å³/cell) = 1200.5
data_Ac5LaCo3
_chemical_formula_sum 'Ac20 La4 Co12'
_symmetry_space_group_name_H-M 'C 1 2/m 1'
_symmetry_Int_Tables_number 12
_symmetry_space_group_name_Hall '-C 2y'
_cell_length_a 12.817
_cell_length_b 9.794
_cell_length_c 10.471
_cell_angle_alpha 90.00
_cell_angle_beta 114.03
_cell_angle_gamma 90.00
loop_
_atom_site_label
_atom_site_type_symbol
_atom_site_fract_x
_atom_site_fract_y
_atom_site_fract_z
_atom_site_occupancy
Ac1 Ac 0.000 0.201 0.000 1
Ac2 Ac 0.063 0.000 0.364 1
Ac3 Ac 0.168 0.301 0.665 1
Ac4 Ac 0.232 0.500 0.034 1
La1 La 0.099 0.500 0.298 1
Co1 Co 0.000 0.500 0.000 1
Co2 Co 0.000 0.500 0.500 1
Co3 Co 0.166 0.000 0.166 1
Co4 Co 0.176 0.000 0.664 1


(2)
# GGA-PBE AcLa4Co, relaxed
# - E_form (meV per atom) = -12
# - relative energy among the computed polymorphs (meV/atom) = 30
# - DOS at the Fermi energy (states/eV/cell) = 33.8
# - calculated density (Mg/m³) = 6.52
# - V (Å³/cell) = 856.7
data_AcLa4Co
_chemical_formula_sum 'Ac4 La16 Co4'
_symmetry_space_group_name_H-M 'C m c m'
_symmetry_Int_Tables_number 63
_symmetry_space_group_name_Hall '-C 2c 2'
_cell_length_a 5.903
_cell_length_b 18.725
_cell_length_c 7.751
_cell_angle_alpha 90.00
_cell_angle_beta 90.00
_cell_angle_gamma 90.00
loop_
_atom_site_label
_atom_site_type_symbol
_atom_site_fract_x
_atom_site_fract_y
_atom_site_fract_z
_atom_site_occupancy
Ac1 Ac 0.000 0.111 0.250 1
La1 La 0.000 0.116 0.750 1
La2 La 0.000 0.300 0.006 1
La3 La 0.000 0.500 0.000 1
Co1 Co 0.000 0.405 0.250 1


(3)
# GGA-PBE Ac3La5Co2, relaxed
# - E_form (meV per atom) = -12
# - DOS at the Fermi energy (states/eV/cell) = 54.7
# - calculated density (Mg/m³) = 7.11
# - V (Å³/cell) = 1395.7
data_Ac3La5Co2
_chemical_formula_sum 'Ac12 La20 Co8'
_symmetry_space_group_name_H-M 'I b a m'
_symmetry_Int_Tables_number 72
_symmetry_space_group_name_Hall '-I 2 2c'
_cell_length_a 10.802
_cell_length_b 15.736
_cell_length_c 8.211
_cell_angle_alpha 90.00
_cell_angle_beta 90.00
_cell_angle_gamma 90.00
loop_
_atom_site_label
_atom_site_type_symbol
_atom_site_fract_x
_atom_site_fract_y
_atom_site_fract_z
_atom_site_occupancy
Ac1 Ac 0.000 0.000 0.250 1
Ac2 Ac 0.237 0.358 0.000 1
La1 La 0.000 0.247 0.250 1
La2 La 0.000 0.500 0.250 1
La3 La 0.239 0.389 0.500 1
Co1 Co 0.016 0.139 0.000 1


(4)
# GGA-PBE AcLa6Co3, relaxed
# - E_form (meV per atom) = 2
# - DOS at the Fermi energy (states/eV/cell) = 41.5
# - calculated density (Mg/m³) = 7.19
# - V (Å³/cell) = 1142.7
data_AcLa6Co3
_chemical_formula_sum 'Ac4 La24 Co12'
_symmetry_space_group_name_H-M 'C m c 21'
_symmetry_Int_Tables_number 36
_symmetry_space_group_name_Hall 'C 2c -2'
_cell_length_a 12.390
_cell_length_b 12.305
_cell_length_c 7.495
_cell_angle_alpha 90.00
_cell_angle_beta 90.00
_cell_angle_gamma 90.00
loop_
_atom_site_label
_atom_site_type_symbol
_atom_site_fract_x
_atom_site_fract_y
_atom_site_fract_z
_atom_site_occupancy
Ac1 Ac 0.000 0.215 0.000 1
La1 La 0.000 0.174 0.537 1
La2 La 0.000 0.472 0.447 1
La3 La 0.213 0.004 0.035 1
La4 La 0.238 0.257 0.278 1
Co1 Co 0.000 0.018 0.758 1
Co2 Co 0.123 0.379 0.742 1


(5)
# GGA-PBE AcLa7Co3, relaxed
# - E_form (meV per atom) = -58
# - DOS at the Fermi energy (states/eV/cell) = 15.6
# - calculated density (Mg/m³) = 6.35
# - V (Å³/cell) = 359.8
data_AcLa7Co3
_chemical_formula_sum 'Ac1 La7 Co3'
_symmetry_space_group_name_H-M 'P 3 m 1'
_symmetry_Int_Tables_number 156
_symmetry_space_group_name_Hall 'P 3 -2"'
_cell_length_a 7.9445
_cell_length_b 7.9445
_cell_length_c 6.5827
_cell_angle_alpha 90.00
_cell_angle_beta 90.00
_cell_angle_gamma 120.00
loop_
_atom_site_label
_atom_site_type_symbol
_atom_site_fract_x
_atom_site_fract_y
_atom_site_fract_z
_atom_site_occupancy
Ac1 Ac 0.0000 0.0000 0.0000 1
La1 La 0.0037 0.5018 0.9874 1
La2 La 0.3317 0.1658 0.5147 1
La3 La 0.3333 0.6667 0.5090 1
Co1 Co 0.1692 0.3384 0.7469 1


(6)
# GGA-PBE AcLaCo4, relaxed
# - E_form (meV per atom) = -24
# - relative energy among the computed polymorphs (meV/atom) = 0
# - DOS at the Fermi energy (states/eV/cell) = 10.7
# - calculated density (Mg/m³) = 8.37
# - V (Å³/cell) = 238.7
data_AcLaCo4
_chemical_formula_sum 'Ac2 La2 Co8'
_symmetry_space_group_name_H-M 'I m m m'
_symmetry_Int_Tables_number 71
_symmetry_space_group_name_Hall '-I 2 2'
_cell_length_a 3.964
_cell_length_b 6.889
_cell_length_c 8.741
_cell_angle_alpha 90.00
_cell_angle_beta 90.00
_cell_angle_gamma 90.00
loop_
_atom_site_label
_atom_site_type_symbol
_atom_site_fract_x
_atom_site_fract_y
_atom_site_fract_z
_atom_site_occupancy
Ac1 Ac 0.000 0.000 0.000 1
La1 La 0.000 0.000 0.500 1
Co1 Co 0.000 0.334 0.247 1


(7)
# GGA-PBE AcLaCo3, relaxed
# - E_form (meV per atom) = -39
# - DOS at the Fermi energy (states/eV/cell) = 18.7
# - calculated density (Mg/m³) = 8.13
# - V (Å³/cell) = 443.6
data_AcLaCo3
_chemical_formula_sum 'Ac4 La4 Co12'
_symmetry_space_group_name_H-M 'C m c m'
_symmetry_Int_Tables_number 63
_symmetry_space_group_name_Hall '-C 2c 2'
_cell_length_a 4.216
_cell_length_b 26.271
_cell_length_c 4.005
_cell_angle_alpha 90.00
_cell_angle_beta 90.00
_cell_angle_gamma 90.00
loop_
_atom_site_label
_atom_site_type_symbol
_atom_site_fract_x
_atom_site_fract_y
_atom_site_fract_z
_atom_site_occupancy
Ac1 Ac 0.000 0.194 0.250 1
La1 La 0.000 0.065 0.750 1
Co1 Co 0.000 0.350 0.250 1
Co2 Co 0.000 0.391 0.750 1
Co3 Co 0.000 0.479 0.750 1


(8)
# GGA-PBE Ac3La4Co2, relaxed
# - E_form (meV per atom) = -46
# - DOS at the Fermi energy (states/eV/cell) = 44.2
# - calculated density (Mg/m³) = 7.27
# - V (Å³/cell) = 1236.7
data_Ac3La4Co2
_chemical_formula_sum 'Ac12 La16 Co8'
_symmetry_space_group_name_H-M 'C 1 2/c 1'
_symmetry_Int_Tables_number 15
_symmetry_space_group_name_Hall '-C 2yc'
_cell_length_a 18.046
_cell_length_b 10.702
_cell_length_c 6.882
_cell_angle_alpha 90.00
_cell_angle_beta 111.49
_cell_angle_gamma 90.00
loop_
_atom_site_label
_atom_site_type_symbol
_atom_site_fract_x
_atom_site_fract_y
_atom_site_fract_z
_atom_site_occupancy
Ac1 Ac 0.000 0.073 0.250 1
Ac2 Ac 0.101 0.414 0.201 1
La1 La 0.115 0.226 0.752 1
La2 La 0.216 0.093 0.290 1
Co1 Co 0.215 0.362 0.004 1


(9)
# GGA-PBE AcLa8Co4, relaxed
# - E_form (meV per atom) = -91
# - DOS at the Fermi energy (states/eV/cell) = 20.2
# - calculated density (Mg/m³) = 6.46
# - V (Å³/cell) = 809.3
data_AcLa8Co4
_chemical_formula_sum 'Ac2 La16 Co8'
_symmetry_space_group_name_H-M 'C 1 2/m 1'
_symmetry_Int_Tables_number 12
_symmetry_space_group_name_Hall '-C 2y'
_cell_length_a 19.770
_cell_length_b 4.087
_cell_length_c 13.411
_cell_angle_alpha 90.00
_cell_angle_beta 131.68
_cell_angle_gamma 90.00
loop_
_atom_site_label
_atom_site_type_symbol
_atom_site_fract_x
_atom_site_fract_y
_atom_site_fract_z
_atom_site_occupancy
Ac1 Ac 0.000 0.000 0.000 1
La1 La 0.047 0.000 0.739 1
La2 La 0.138 0.500 0.593 1
La3 La 0.162 0.500 0.342 1
La4 La 0.204 0.500 0.071 1
Co1 Co 0.144 0.000 0.462 1
Co2 Co 0.168 0.500 0.824 1


(10)
# GGA-PBE AcLaCo, relaxed
# - E_form (meV per atom) = 69
# - relative energy among the computed polymorphs (meV/atom) = 137
# - DOS at the Fermi energy (states/eV/cell) = 7.8
# - calculated density (Mg/m³) = 7.96
# - V (Å³/cell) = 354.4
data_AcLaCo
_chemical_formula_sum 'Ac4 La4 Co4'
_symmetry_space_group_name_H-M 'F -4 3 m'
_symmetry_Int_Tables_number 216
_symmetry_space_group_name_Hall 'F -4 2 3'
_cell_length_a 7.077
_cell_length_b 7.077
_cell_length_c 7.077
_cell_angle_alpha 90.00
_cell_angle_beta 90.00
_cell_angle_gamma 90.00
loop_
_atom_site_label
_atom_site_type_symbol
_atom_site_fract_x
_atom_site_fract_y
_atom_site_fract_z
_atom_site_occupancy
Ac1 Ac 0.000 0.000 0.000 1
La1 La 0.000 0.000 0.500 1
Co1 Co 0.250 0.250 0.750 1


(11)
# GGA-PBE AcLaCo, relaxed
# - E_form (meV per atom) = -64
# - relative energy among the computed polymorphs (meV/atom) = 5
# - DOS at the Fermi energy (states/eV/cell) = 12.3
# - calculated density (Mg/m³) = 7.80
# - V (Å³/cell) = 361.8
data_AcLaCo
_chemical_formula_sum 'Ac4 La4 Co4'
_symmetry_space_group_name_H-M 'C 1 2/m 1'
_symmetry_Int_Tables_number 12
_symmetry_space_group_name_Hall '-C 2y'
_cell_length_a 13.106
_cell_length_b 3.944
_cell_length_c 9.023
_cell_angle_alpha 90.00
_cell_angle_beta 129.11
_cell_angle_gamma 90.00
loop_
_atom_site_label
_atom_site_type_symbol
_atom_site_fract_x
_atom_site_fract_y
_atom_site_fract_z
_atom_site_occupancy
Ac1 Ac 0.072 0.000 0.379 1
La1 La 0.192 0.500 0.102 1
Co1 Co 0.119 0.500 0.707 1


(12)
# GGA-PBE AcLaCo, relaxed
# - E_form (meV per atom) = -69
# - relative energy among the computed polymorphs (meV/atom) = 0
# - DOS at the Fermi energy (states/eV/cell) = 10.9
# - calculated density (Mg/m³) = 7.06
# - V (Å³/cell) = 399.7
data_AcLaCo
_chemical_formula_sum 'Ac4 La4 Co4'
_symmetry_space_group_name_H-M 'C 1 2/m 1'
_symmetry_Int_Tables_number 12
_symmetry_space_group_name_Hall '-C 2y'
_cell_length_a 15.100
_cell_length_b 4.156
_cell_length_c 7.171
_cell_angle_alpha 90.00
_cell_angle_beta 117.36
_cell_angle_gamma 90.00
loop_
_atom_site_label
_atom_site_type_symbol
_atom_site_fract_x
_atom_site_fract_y
_atom_site_fract_z
_atom_site_occupancy
Ac1 Ac 0.134 0.000 0.303 1
La1 La 0.142 0.500 0.812 1
Co1 Co 0.247 0.000 0.756 1


(13)
# GGA-PBE AcLaCo4, relaxed
# - E_form (meV per atom) = 62
# - relative energy among the computed polymorphs (meV/atom) = 86
# - DOS at the Fermi energy (states/eV/cell) = 32.9
# - calculated density (Mg/m³) = 9.85
# - V (Å³/cell) = 405.5
data_AcLaCo4
_chemical_formula_sum 'Ac4 La4 Co16'
_symmetry_space_group_name_H-M 'F -4 3 m'
_symmetry_Int_Tables_number 216
_symmetry_space_group_name_Hall 'F -4 2 3'
_cell_length_a 7.402
_cell_length_b 7.402
_cell_length_c 7.402
_cell_angle_alpha 90.00
_cell_angle_beta 90.00
_cell_angle_gamma 90.00
loop_
_atom_site_label
_atom_site_type_symbol
_atom_site_fract_x
_atom_site_fract_y
_atom_site_fract_z
_atom_site_occupancy
Ac1 Ac 0.000 0.000 0.000 1
La1 La 0.250 0.250 0.750 1
Co1 Co 0.124 0.124 0.376 1


(14)
# GGA-PBE AcLa4Co3, relaxed
# - E_form (meV per atom) = -83
# - DOS at the Fermi energy (states/eV/cell) = 21.1
# - calculated density (Mg/m³) = 6.91
# - V (Å³/cell) = 922.4
data_AcLa4Co3
_chemical_formula_sum 'Ac4 La16 Co12'
_symmetry_space_group_name_H-M 'C 1 c 1'
_symmetry_Int_Tables_number 9
_symmetry_space_group_name_Hall 'C -2yc'
_cell_length_a 13.605
_cell_length_b 7.099
_cell_length_c 10.341
_cell_angle_alpha 90.00
_cell_angle_beta 112.56
_cell_angle_gamma 90.00
loop_
_atom_site_label
_atom_site_type_symbol
_atom_site_fract_x
_atom_site_fract_y
_atom_site_fract_z
_atom_site_occupancy
Ac1 Ac 0.000 0.174 0.000 1
La1 La 0.103 0.332 0.691 1
La2 La 0.198 0.168 0.402 1
La3 La 0.289 0.335 0.107 1
La4 La 0.392 0.173 0.803 1
Co1 Co 0.095 0.492 0.427 1
Co2 Co 0.205 0.001 0.657 1
Co3 Co 0.293 0.497 0.866 1


(15)
# GGA-PBE Ac6La2Co, relaxed
# - E_form (meV per atom) = 43
# - DOS at the Fermi energy (states/eV/cell) = 11.7
# - calculated density (Mg/m³) = 7.71
# - V (Å³/cell) = 366.1
data_Ac6La2Co
_chemical_formula_sum 'Ac6 La2 Co1'
_symmetry_space_group_name_H-M 'P -1'
_symmetry_Int_Tables_number 2
_symmetry_space_group_name_Hall '-P 1'
_cell_length_a 4.004
_cell_length_b 9.427
_cell_length_c 10.174
_cell_angle_alpha 76.69
_cell_angle_beta 78.72
_cell_angle_gamma 89.97
loop_
_atom_site_label
_atom_site_type_symbol
_atom_site_fract_x
_atom_site_fract_y
_atom_site_fract_z
_atom_site_occupancy
Ac1 Ac 0.041 0.218 0.423 1
Ac2 Ac 0.279 0.687 0.941 1
Ac3 Ac 0.399 0.404 0.701 1
La1 La 0.171 0.967 0.161 1
Co1 Co 0.000 0.500 0.500 1


(16)
# GGA-PBE Ac5LaCo4, relaxed
# - E_form (meV per atom) = 33
# - DOS at the Fermi energy (states/eV/cell) = 16.1
# - calculated density (Mg/m³) = 8.44
# - V (Å³/cell) = 594.1
data_Ac5LaCo4
_chemical_formula_sum 'Ac10 La2 Co8'
_symmetry_space_group_name_H-M 'C 1 2/m 1'
_symmetry_Int_Tables_number 12
_symmetry_space_group_name_Hall '-C 2y'
_cell_length_a 17.871
_cell_length_b 4.217
_cell_length_c 8.142
_cell_angle_alpha 90.00
_cell_angle_beta 104.47
_cell_angle_gamma 90.00
loop_
_atom_site_label
_atom_site_type_symbol
_atom_site_fract_x
_atom_site_fract_y
_atom_site_fract_z
_atom_site_occupancy
Ac1 Ac 0.000 0.000 0.000 1
Ac2 Ac 0.163 0.500 0.828 1
Ac3 Ac 0.166 0.500 0.350 1
La1 La 0.000 0.000 0.500 1
Co1 Co 0.003 0.500 0.244 1
Co2 Co 0.172 0.000 0.608 1


(17)
# GGA-PBE AcLa12Co6, relaxed
# - E_form (meV per atom) = -90
# - DOS at the Fermi energy (states/eV/cell) = 41.7
# - calculated density (Mg/m³) = 6.83
# - V (Å³/cell) = 1092.1
data_AcLa12Co6
_chemical_formula_sum 'Ac2 La24 Co12'
_symmetry_space_group_name_H-M 'I m -3'
_symmetry_Int_Tables_number 204
_symmetry_space_group_name_Hall '-I 2 2 3'
_cell_length_a 10.298
_cell_length_b 10.298
_cell_length_c 10.298
_cell_angle_alpha 90.00
_cell_angle_beta 90.00
_cell_angle_gamma 90.00
loop_
_atom_site_label
_atom_site_type_symbol
_atom_site_fract_x
_atom_site_fract_y
_atom_site_fract_z
_atom_site_occupancy
Ac1 Ac 0.000 0.000 0.000 1
La1 La 0.000 0.318 0.196 1
Co1 Co 0.000 0.116 0.500 1


(18)
# GGA-PBE Ac2La6Co, relaxed
# - E_form (meV per atom) = -9
# - DOS at the Fermi energy (states/eV/cell) = 27.5
# - calculated density (Mg/m³) = 6.87
# - V (Å³/cell) = 650.5
data_Ac2La6Co
_chemical_formula_sum 'Ac4 La12 Co2'
_symmetry_space_group_name_H-M 'C 1 2/m 1'
_symmetry_Int_Tables_number 12
_symmetry_space_group_name_Hall '-C 2y'
_cell_length_a 13.302
_cell_length_b 7.676
_cell_length_c 7.755
_cell_angle_alpha 90.00
_cell_angle_beta 124.77
_cell_angle_gamma 90.00
loop_
_atom_site_label
_atom_site_type_symbol
_atom_site_fract_x
_atom_site_fract_y
_atom_site_fract_z
_atom_site_occupancy
Ac1 Ac 0.230 0.000 0.194 1
La1 La 0.011 0.258 0.276 1
La2 La 0.247 0.000 0.725 1
Co1 Co 0.000 0.500 0.000 1


(19)
# GGA-PBE Ac2LaCo2, relaxed
# - E_form (meV per atom) = 114
# - DOS at the Fermi energy (states/eV/cell) = 25.5
# - calculated density (Mg/m³) = 7.05
# - V (Å³/cell) = 670.0
data_Ac2LaCo2
_chemical_formula_sum 'Ac8 La4 Co8'
_symmetry_space_group_name_H-M 'C 1 2/c 1'
_symmetry_Int_Tables_number 15
_symmetry_space_group_name_Hall '-C 2yc'
_cell_length_a 16.960
_cell_length_b 4.098
_cell_length_c 10.020
_cell_angle_alpha 90.00
_cell_angle_beta 105.85
_cell_angle_gamma 90.00
loop_
_atom_site_label
_atom_site_type_symbol
_atom_site_fract_x
_atom_site_fract_y
_atom_site_fract_z
_atom_site_occupancy
Ac1 Ac 0.162 0.217 0.105 1
La1 La 0.000 0.273 0.750 1
Co1 Co 0.024 0.249 0.487 1


(20)
# GGA-PBE Ac3La2Co2, relaxed
# - E_form (meV per atom) = -43
# - DOS at the Fermi energy (states/eV/cell) = 7.8
# - calculated density (Mg/m³) = 7.93
# - V (Å³/cell) = 225.4
data_Ac3La2Co2
_chemical_formula_sum 'Ac3 La2 Co2'
_symmetry_space_group_name_H-M 'P -1'
_symmetry_Int_Tables_number 2
_symmetry_space_group_name_Hall '-P 1'
_cell_length_a 3.904
_cell_length_b 6.603
_cell_length_c 9.506
_cell_angle_alpha 75.01
_cell_angle_beta 89.98
_cell_angle_gamma 72.82
loop_
_atom_site_label
_atom_site_type_symbol
_atom_site_fract_x
_atom_site_fract_y
_atom_site_fract_z
_atom_site_occupancy
Ac1 Ac 0.000 0.000 0.000 1
Ac2 Ac 0.311 0.378 0.198 1
La1 La 0.387 0.227 0.605 1
Co1 Co 0.095 0.810 0.576 1